# FeHAu3 (PBE-GGA, relaxed)
data_FeHAu3
_chemical_formula_sum 'Fe1 H1 Au3'
_cell_length_a 4.1654
_cell_length_b 4.1654
_cell_length_c 4.1654
_cell_angle_alpha 90.00
_cell_angle_beta 90.00
_cell_angle_gamma 90.00
_space_group_name_H-M_alt 'P 1'
_space_group_IT_number 1
loop_
_space_group_symop_operation_xyz
'x,y,z'
loop_
_atom_site_label
_atom_site_fract_x
_atom_site_fract_y
_atom_site_fract_z
Fe1 0.0000 0.0000 0.0000
H1 0.5000 0.5000 0.5000
Au1 0.0000 0.5000 0.5000
Au2 0.5000 0.0000 0.5000
Au3 0.5000 0.5000 0.0000
# **Volume**: 72.27 Å³ per cell
# **Space group**: Pm-3m
# **Final energy**: -19.55 eV for the cell shown